A relaxed Tl2HAuSe2 crystal, computed with PBE.

Its calculated volume is 552 Å³/cell. The total energy is -2.948 eV/atom.

It has space group Ibam (No. 72), with a = 6.2237 Å, b = 15.7852 Å, c = 5.6177 Å, α = 90.00°, β = 90.00° and γ = 90.00°. The distinct sites, in fractional coordinates, are Tl at (0.2181, 0.1730, 0.0000), H at (0.0000, 0.5000, 0.2500), Au at (0.0000, 0.0000, 0.2500) and Se at (0.1853, 0.4153, 0.0000).

***

A relaxed Sc3Ga3Ag crystal, computed with PBE.

Its calculated volume is 268 Å³/cell. The calculation puts the formation enthalpy at 0 K at -0.364 eV per atom. The energy above the most stable polymorph in this dataset comes out at 145 meV/atom.

It has space group P6_3/m (No. 176), with a = 7.9735 Å, b = 7.9735 Å, c = 4.8760 Å, α = 90.00°, β = 90.00° and γ = 120.00°. The distinct sites, in fractional coordinates, are Sc at (0.0894, 0.4450, 0.2500), Ga at (0.0433, 0.2291, 0.7500) and Ag at (0.3333, 0.6667, 0.7500).

***

A relaxed Pm5TlBi4 crystal, computed with PBE.

Its calculated volume is 673 Å³/cell. The calculation puts the formation enthalpy at 0 K at -0.768 eV per atom.

It has space group I4 (No. 79), with a = 10.2198 Å, b = 10.2198 Å, c = 6.4456 Å, α = 90.00°, β = 90.00° and γ = 90.00°. The distinct sites, in fractional coordinates, are Pm at (0.0000, 0.0000, 0.0000), Pm at (0.1030, 0.6957, 0.4993), Tl at (0.0000, 0.0000, 0.5001) and Bi at (0.0997, 0.7004, 0.9993).

***

A relaxed Na3NbP crystal, computed with PBE.

Its calculated volume is 191 Å³/cell. The calculation puts the formation enthalpy at 0 K at 1.563 eV per atom. The energy above the most stable polymorph in this dataset comes out at 649 meV/atom.

It has space group Pm-3m (No. 221), with a = 5.7635 Å, b = 5.7635 Å, c = 5.7635 Å, α = 90.00°, β = 90.00° and γ = 90.00°. The distinct sites, in fractional coordinates, are Na at (0.0000, 0.0000, 0.5000), Nb at (0.0000, 0.0000, 0.0000) and P at (0.5000, 0.5000, 0.5000).

***

A relaxed Nd4Ho4Tl crystal, computed with PBE.

Its calculated volume is 575 Å³/cell. The calculation puts the formation enthalpy at 0 K at -0.038 eV per atom.

It has space group I4/mmm (No. 139), with a = 10.7955 Å, b = 10.7955 Å, c = 4.9315 Å, α = 90.00°, β = 90.00° and γ = 90.00°. The distinct sites, in fractional coordinates, are Nd at (0.1621, 0.1621, 0.0000), Ho at (0.0000, 0.3375, 0.5000) and Tl at (0.0000, 0.0000, 0.5000).

***

A relaxed Tm5Hg6Pb crystal, computed with PBE.

Its calculated volume is 600 Å³/cell. The calculation puts the formation enthalpy at 0 K at -0.406 eV per atom.

It has space group Cmmm (No. 65), with a = 5.1876 Å, b = 15.5294 Å, c = 7.4458 Å, α = 90.00°, β = 90.00° and γ = 90.00°. The distinct sites, in fractional coordinates, are Tm at (0.0000, 0.0000, 0.0000), Tm at (0.0000, 0.3299, 0.0000), Tm at (0.0000, 0.3445, 0.5000), Hg at (0.0000, 0.1734, 0.2525), Hg at (0.0000, 0.5000, 0.2285) and Pb at (0.0000, 0.0000, 0.5000).

***

A relaxed SmZn2SiRh2 crystal, computed with PBE.

For the raw formation energy, the calculation gives -0.4330 eV/atom. Its calculated volume is 113 Å³/cell.

It has space group P4/mmm (No. 123), with a = 4.4501 Å, b = 4.4501 Å, c = 5.6907 Å, α = 90.00°, β = 90.00° and γ = 90.00°. The distinct sites, in fractional coordinates, are Sm at (0.0000, 0.0000, 0.0000), Zn at (0.5000, 0.5000, 0.2275), Si at (0.0000, 0.0000, 0.5000) and Rh at (0.0000, 0.5000, 0.5000).

***

A relaxed TlHg2Mo crystal, computed with PBE.

Its calculated volume is 171 Å³/cell. The calculation puts the formation enthalpy at 0 K at 0.553 eV per atom. The energy above the most stable polymorph in this dataset comes out at 40 meV/atom.

It has space group Cm (No. 8), with a = 11.2245 Å, b = 3.1025 Å, c = 5.4718 Å, α = 90.00°, β = 116.45° and γ = 90.00°. The distinct sites, in fractional coordinates, are Tl at (0.0000, 0.0000, 0.0000), Hg at (0.2224, 0.0000, 0.5831), Hg at (0.4538, 0.0000, 0.4604) and Mo at (0.2358, 0.5000, 0.0447).

***

We obtain N(E_F) values of 8.348 9.612 11.569 5.345 25.591 16.403 6.163 3.671 states/eV per cell for the records listed above, in that order.